# RbU2MnO8

A relaxed RbU2MnO8 crystal (PBE with a Hubbard U, Alexandria).

Computed properties:
For the electronic total energy, the calculation gives -8.3970 eV per atom.

Cell lengths 5.2388, 5.2429, 7.1386 Å; angles 86.93, 86.91, 80.98 degrees
Last column: nearest neighbours and their distance in Å.
Positions (direct):
Rb 0.0000 0.0000 0.0000  6 O 2.63-2.77
U 0.4944 0.4945 0.2605  4 O 1.98-2.03
U 0.5056 0.5055 0.7395  4 O 1.98-2.03
Mn 0.0000 0.0000 0.5000  4 O 1.95-1.96
O 0.1938 0.7807 0.6907  1 Mn 1.95, 1 U 2.03
O 0.2205 0.8073 0.3092  1 Mn 1.96, 1 U 2.03
O 0.3326 0.3339 0.4853  1 U 1.98
O 0.3479 0.3495 0.9690  1 U 1.99
O 0.6521 0.6505 0.0310  1 U 1.99
O 0.6674 0.6661 0.5147  1 U 1.98
O 0.7795 0.1927 0.6908  1 Mn 1.96, 1 U 2.03
O 0.8062 0.2193 0.3093  1 Mn 1.95, 1 U 2.03